[1]
# NaCrMo2N GGA-PBE relaxed
data_NaCrMo2N
_chemical_formula_sum 'Na1 Cr1 Mo2 N1'
_cell_length_a 4.185
_cell_length_b 4.185
_cell_length_c 3.918
_cell_angle_alpha 90.00
_cell_angle_beta 90.00
_cell_angle_gamma 90.00
_space_group_name_H-M_alt 'P 4/m m m'
_space_group_IT_number 123
_space_group_name_Hall '-P 4 2'
loop_
_atom_site_label
_atom_site_type_symbol
_atom_site_fract_x
_atom_site_fract_y
_atom_site_fract_z
Na1 Na 0.000 0.000 0.000
Cr1 Cr 0.500 0.500 0.000
Mo1 Mo 0.000 0.500 0.500
N1 N 0.500 0.500 0.500
# total energy: -0.5701 Ry per atom
# density: 6.8 g/cm3
# formation energy (no corrections): 0.429 eV per atom

=====

[2]
# NaCrMoN3 GGA-PBE relaxed
data_NaCrMoN3
_chemical_formula_sum 'Na2 Cr2 Mo2 N6'
_cell_length_a 6.697
_cell_length_b 3.067
_cell_length_c 8.090
_cell_angle_alpha 90.00
_cell_angle_beta 105.56
_cell_angle_gamma 90.00
_space_group_name_H-M_alt 'P 1 21/m 1'
_space_group_IT_number 11
loop_
_space_group_symop_operation_xyz
'x,y,z'
'-x,-y,-z'
'-x,y+1/2,-z'
'x,-y+1/2,z'
loop_
_atom_site_label
_atom_site_type_symbol
_atom_site_fract_x
_atom_site_fract_y
_atom_site_fract_z
Na1 Na 0.181 0.250 0.207
Cr1 Cr 0.119 0.250 0.603
Mo1 Mo 0.373 0.750 0.883
N1 N 0.139 0.250 0.829
N2 N 0.176 0.750 0.504
N3 N 0.436 0.750 0.148
# total energy: -0.5942 Ry per atom
# density: 4.4 g/cm3
# formation energy (no corrections): -0.293 eV per atom